1.
Computed, not measured: crystalline Cs4AcU3O12 at its relaxed geometry at the PBE-GGA level of DFT.

Output
**DOS(E_F)**: 0.419 states/eV per atom
**Uncorrected formation energy**: -2.82 eV per atom
**Symmetry**: Im-3m, No. 229
**Volume**: 18.22 Å³/atom
**Final energy**: -157.32 eV per cell
**Total moment**: 1.00 μB per cell
**Theoretical density**: 7.59 g/cm3

a b c (Å): 7.7934 7.7934 7.7934
angles (deg): 109.47 109.47 109.47
Fractional positions:
Cs  0.0000  0.0000  0.5000
Cs  0.0000  0.5000  0.0000
Cs  0.5000  0.0000  0.0000
Cs  0.5000  0.5000  0.5000
Ac  0.0000  0.0000  0.0000
U  0.0000  0.5000  0.5000
U  0.5000  0.0000  0.5000
U  0.5000  0.5000  0.0000
O  0.0000  0.2776  0.2776
O  0.0000  0.7224  0.7224
O  0.2500  0.5000  0.7500
O  0.2500  0.7500  0.5000
O  0.2776  0.0000  0.2776
O  0.2776  0.2776  0.0000
O  0.5000  0.2500  0.7500
O  0.5000  0.7500  0.2500
O  0.7224  0.0000  0.7224
O  0.7224  0.7224  0.0000
O  0.7500  0.2500  0.5000
O  0.7500  0.5000  0.2500

***

2.
Computed, not measured: crystalline CsAc2UO8 at its relaxed geometry at the PBE-GGA level of DFT.

Output
**DOS(E_F)**: 0.750 states/eV per atom
**Uncorrected formation energy**: -2.66 eV per atom
**Symmetry**: P2/m, No. 10
**Volume**: 17.86 Å³/atom
**Final energy**: -91.92 eV per cell
**Total moment**: 0.98 μB per cell
**Theoretical density**: 7.38 g/cm3

a b c (Å): 4.1968 9.1155 5.6295
angles (deg): 90.00 95.60 90.00
Fractional positions:
Cs  0.0000  0.0000  0.0000
Ac  0.5000  0.2913  0.5000
Ac  0.5000  0.7087  0.5000
U  0.0000  0.5000  0.0000
O  0.0356  0.3172  0.7662
O  0.0356  0.6828  0.7662
O  0.4129  0.0000  0.6006
O  0.4477  0.5000  0.2243
O  0.5523  0.5000  0.7757
O  0.5871  0.0000  0.3994
O  0.9644  0.3172  0.2338
O  0.9644  0.6828  0.2338

***

Question: Look up the uncorrected formation energy of the first one.
Answer: -2.82 eV per atom

***

Repeat the second record exactly.
Computed, not measured: crystalline CsAc2UO8 at its relaxed geometry at the PBE-GGA level of DFT.

Output
**DOS(E_F)**: 0.750 states/eV per atom
**Uncorrected formation energy**: -2.66 eV per atom
**Symmetry**: P2/m, No. 10
**Volume**: 17.86 Å³/atom
**Final energy**: -91.92 eV per cell
**Total moment**: 0.98 μB per cell
**Theoretical density**: 7.38 g/cm3

a b c (Å): 4.1968 9.1155 5.6295
angles (deg): 90.00 95.60 90.00
Fractional positions:
Cs  0.0000  0.0000  0.0000
Ac  0.5000  0.2913  0.5000
Ac  0.5000  0.7087  0.5000
U  0.0000  0.5000  0.0000
O  0.0356  0.3172  0.7662
O  0.0356  0.6828  0.7662
O  0.4129  0.0000  0.6006
O  0.4477  0.5000  0.2243
O  0.5523  0.5000  0.7757
O  0.5871  0.0000  0.3994
O  0.9644  0.3172  0.2338
O  0.9644  0.6828  0.2338

***

Question: Among the records above, which one has the highest DOS(E_F)?
Answer: CsAc2UO8